A plane-wave DFT calculation with GGA-PBE was carried out for a relaxed structure of SmErSeS.

The value obtained for the density is 7.67 g/cm3. The value obtained for the formation energy (no corrections) is -1.873 eV per atom. The value obtained for the total moment is 0.00 μB/f.u.

The space group is R3m (No. 160, hexagonal axes) and the conventional cell measures 3.9133, 3.9133 and 20.9931 Å, with angles of 90.00, 90.00 and 120.00 degrees. The asymmetric unit holds Sm at (0.0000, 0.0000, 0.0000), Er at (0.0000, 0.0000, 0.1845), Se at (0.0000, 0.0000, 0.4279) and S at (0.0000, 0.0000, 0.5902).

***

A plane-wave DFT calculation with GGA-PBE was carried out for a relaxed structure of GaCuSi.

The value obtained for the density is 5.97 g/cm3. The value obtained for the formation energy (no corrections) is 0.055 eV per atom. The value obtained for the total moment is 0.00 μB/f.u.

The space group is Cmmm (No. 65) and the conventional cell measures 8.051, 8.578 and 2.598 Å, with angles of 90.00, 90.00 and 90.00 degrees. The asymmetric unit holds Ga at (0.159, 0.000, 0.000), Cu at (0.250, 0.250, 0.500) and Si at (0.000, 0.357, 0.000).

***

A plane-wave DFT calculation with GGA-PBE was carried out for a relaxed structure of YSbBr.

The value obtained for the density is 5.97 g/cm3. The value obtained for the formation energy (no corrections) is -0.874 eV per atom. The value obtained for the total moment is 0.00 μB/f.u. The distance to the lowest polymorph of the same formula is 113 meV per atom.

The space group is P-6m2 (No. 187) and the conventional cell measures 5.0705, 5.0705 and 3.6307 Å, with angles of 90.00, 90.00 and 120.00 degrees. The asymmetric unit holds Y at (0.0000, 0.0000, 0.0000), Sb at (0.3333, 0.6667, 0.5000) and Br at (0.6667, 0.3333, 0.0000).

***

A plane-wave DFT calculation with GGA-PBE was carried out for a relaxed structure of Ca2InAg3.

The value obtained for the density is 5.46 g/cm3. Its formation energy is -0.245 eV per atom. The value obtained for the total moment is 0.00 μB/f.u.

The space group is Imm2 (No. 44) and the conventional cell measures 4.140, 4.236 and 17.970 Å, with angles of 90.00, 90.00 and 90.00 degrees. The asymmetric unit holds Ca at (0.000, 0.000, 0.000), Ca at (0.000, 0.500, 0.271), In at (0.000, 0.000, 0.596), Ag at (0.000, 0.000, 0.440), Ag at (0.000, 0.500, 0.691) and Ag at (0.000, 0.500, 0.842).

***

A plane-wave DFT calculation with GGA-PBE was carried out for a relaxed structure of ZnIn2NiCl.

The value obtained for the density is 5.48 g/cm3. The value obtained for the formation energy (no corrections) is -0.272 eV per atom. The value obtained for the total moment is 0.00 μB/f.u.

The space group is P4/mmm (No. 123) and the conventional cell measures 5.020, 5.020 and 4.679 Å, with angles of 90.00, 90.00 and 90.00 degrees. The asymmetric unit holds Zn at (0.000, 0.000, 0.000), In at (0.000, 0.500, 0.500), Ni at (0.000, 0.000, 0.500) and Cl at (0.500, 0.500, 0.000).

***

A plane-wave DFT calculation with GGA-PBE was carried out for a relaxed structure of HfTiBi2.

The value obtained for the density is 11.57 g/cm3. Its formation energy is 0.045 eV per atom. The value obtained for the total moment is 0.00 μB/f.u. The distance to the lowest polymorph of the same formula is 26 meV per atom.

The space group is P4/mmm (No. 123) and the conventional cell measures 5.168, 5.168 and 3.463 Å, with angles of 90.00, 90.00 and 90.00 degrees. The asymmetric unit holds Hf at (0.000, 0.000, 0.000), Ti at (0.500, 0.500, 0.000) and Bi at (0.000, 0.500, 0.500).

***

Number 1: N(E_F) 0.2548 states/eV/atom. Number 2: N(E_F) 0.3473 states/eV/atom. Number 3: N(E_F) 0.8953 states/eV/atom. Number 4: N(E_F) 0.5605 states/eV/atom. Number 5: N(E_F) 0.4103 states/eV/atom. Number 6: N(E_F) 1.1616 states/eV/atom.